An optimized crystal structure of Sr2LaYCr, computed with PBE-GGA.

a b c (Å): 6.0198 5.6315 6.0198
angles (deg): 90.00 90.00 90.00
Closest atoms and distances in Å follow each position.
Element x y z (fractional)
1 Sr 0.0000 0.0000 0.5000  2 La 3.01
2 Cr 0.5000 0.5000 0.5000  8 Sr 4.12, 4 Y 4.26
3 Sr 0.5000 0.0000 0.0000  2 La 3.01
4 Y 0.0000 0.5000 0.0000  2 La 2.82
5 La 0.0000 0.0000 0.0000  2 Y 2.82, 4 Sr 3.01

Properties
energy of formation from the pure elements: 1722 meV per atom

***

An optimized crystal structure of ZnCu2Rh2, computed with PBE-GGA.

a b c (Å): 6.5254 6.5254 3.2727
angles (deg): 90.00 90.00 90.00
Closest atoms and distances in Å follow each position.
Element x y z (fractional)
1 Rh 0.1661 0.6661 0.5000  6 Cu 2.47-2.56
2 Cu 0.8667 0.6333 0.0000  1 Cu 2.46, 6 Rh 2.47-2.56, 2 Zn 2.55
3 Zn 0.5000 0.5000 0.0000  4 Cu 2.55
4 Cu 0.6333 0.1333 0.0000  1 Cu 2.46, 6 Rh 2.47-2.56, 2 Zn 2.55
5 Rh 0.8339 0.3339 0.5000  6 Cu 2.47-2.56
6 Rh 0.6661 0.8339 0.5000  6 Cu 2.47-2.56
7 Cu 0.1333 0.3667 0.0000  1 Cu 2.46, 6 Rh 2.47-2.56, 2 Zn 2.55
8 Zn 0.0000 0.0000 0.0000  4 Cu 2.55
9 Rh 0.3339 0.1661 0.5000  6 Cu 2.47-2.56
10 Cu 0.3667 0.8667 0.0000  1 Cu 2.46, 6 Rh 2.47-2.56, 2 Zn 2.55

Properties
ΔE to the lowest computed polymorph: 0 meV per atom
energy of formation from the pure elements: 126 meV per atom

***

An optimized crystal structure of KCdO2, computed with PBE-GGA.

a b c (Å): 3.4352 3.4352 6.5837
angles (deg): 74.88 74.88 60.00
Closest atoms and distances in Å follow each position.
Element x y z (fractional)
1 Cd 0.6683 0.6683 0.9952  6 O 2.32-2.33
2 O 0.0653 0.0653 0.8042  3 Cd 2.32
3 O 0.2696 0.2696 0.1911  3 Cd 2.33
4 K 0.4968 0.4968 0.5095  6 O 2.71-2.82

Properties
ΔE_f (raw): -0.883 eV per atom

***

An optimized crystal structure of TlZn2Bi2, computed with PBE-GGA.

a b c (Å): 4.1439 4.1439 8.7205
angles (deg): 76.26 76.26 90.00
Closest atoms and distances in Å follow each position.
Element x y z (fractional)
1 Tl 0.0000 0.0000 0.0000  8 Bi 3.63
2 Zn 0.7500 0.2500 0.5000  4 Bi 2.86, 4 Zn 2.93
3 Bi 0.6299 0.6299 0.7402  4 Zn 2.86
4 Bi 0.3701 0.3701 0.2598  4 Zn 2.86
5 Zn 0.2500 0.7500 0.5000  4 Bi 2.86, 4 Zn 2.93

Properties
energy of formation from the pure elements: 42 meV per atom

***

An optimized crystal structure of InIr2SN, computed with PBE-GGA.

a b c (Å): 5.0170 4.7853 5.0170
angles (deg): 90.00 90.00 90.00
Closest atoms and distances in Å follow each position.
Element x y z (fractional)
1 N 0.5000 0.5000 0.5000  8 Ir 3.47, 4 S 3.55
2 Ir 0.0000 0.0000 0.5000  2 In 2.51
3 S 0.0000 0.5000 0.0000  2 In 2.39
4 Ir 0.5000 0.0000 0.0000  2 In 2.51
5 In 0.0000 0.0000 0.0000  2 S 2.39, 4 Ir 2.51

Properties
ΔE to the lowest computed polymorph: 740 meV per atom
ΔE_f (raw): 3.058 eV per atom

***

An optimized crystal structure of InCo2Os, computed with PBE-GGA.

a b c (Å): 4.5119 6.2854 2.7566
angles (deg): 64.00 89.99 124.24
Closest atoms and distances in Å follow each position.
Element x y z (fractional)
1 Co 0.0000 0.5000 0.5000  4 Os 2.64, 4 In 2.64, 4 Co 2.76-2.82
2 Os 0.5000 0.0000 0.5000  8 Co 2.64, 2 Os 2.76, 2 In 2.82
3 Co 0.0000 0.0000 0.0000  4 In 2.64, 4 Os 2.64, 4 Co 2.76-2.82
4 In 0.5000 0.5000 0.0000  8 Co 2.64, 2 In 2.76, 2 Os 2.82

Properties
energy of formation from the pure elements: 340 meV per atom

***

An optimized crystal structure of DyMg6Cd, computed with PBE-GGA.

a b c (Å): 4.8768 4.8768 7.8556
angles (deg): 90.00 90.00 90.00
Closest atoms and distances in Å follow each position.
Element x y z (fractional)
1 Mg 0.5000 0.0000 0.7333  4 Mg 3.05-3.21, 2 Cd 3.05, 2 Dy 3.21
2 Mg 0.5000 0.5000 0.5000  8 Mg 3.05
3 Mg 0.5000 0.5000 0.0000  8 Mg 3.21, 4 Dy 3.45
4 Cd 0.0000 0.0000 0.5000  8 Mg 3.05
5 Mg 0.0000 0.5000 0.2667  2 Cd 3.05, 4 Mg 3.05-3.21, 2 Dy 3.21
6 Mg 0.5000 0.0000 0.2667  4 Mg 3.05-3.21, 2 Cd 3.05, 2 Dy 3.21
7 Dy 0.0000 0.0000 0.0000  12 Mg 3.21-3.45
8 Mg 0.0000 0.5000 0.7333  2 Cd 3.05, 4 Mg 3.05-3.21, 2 Dy 3.21

Properties
energy of formation from the pure elements: -58 meV per atom

***

An optimized crystal structure of Mg2NpZnN4, computed with PBE-GGA.

a b c (Å): 4.5218 4.5218 5.4752
angles (deg): 114.39 114.39 90.00
Closest atoms and distances in Å follow each position.
Element x y z (fractional)
1 Zn 0.4372 0.4372 0.0000  6 N 2.26-2.41
2 N 0.1657 0.1657 0.4570  1 Np 2.03, 4 Mg 2.27
3 Mg 0.1871 0.6871 0.5000  6 N 2.22-2.27
4 N 0.4372 0.9372 0.0000  2 Mg 2.22, 2 Zn 2.26, 2 Np 2.26
5 N 0.9372 0.4372 0.0000  2 Mg 2.22, 2 Zn 2.26, 2 Np 2.26
6 Mg 0.6871 0.1871 0.5000  6 N 2.22-2.27
7 N 0.7087 0.7087 0.5430  1 Np 2.03, 4 Mg 2.27
8 Np 0.9372 0.9372 0.0000  6 N 2.03-2.26

Properties
ΔE_f (raw): -0.773 eV per atom

***

An optimized crystal structure of Ge3Pt9Pb, computed with PBE-GGA.

a b c (Å): 4.9582 8.5692 8.5692
angles (deg): 116.94 118.09 61.91
Closest atoms and distances in Å follow each position.
Element x y z (fractional)
1 Pt 0.0000 0.5000 0.5000  2 Ge 2.48, 4 Pt 2.66
2 Ge 0.5000 0.5000 0.5000  6 Pt 2.48-2.57
3 Pt 0.6228 0.3246 0.1937  2 Ge 2.41-2.57, 1 Pt 2.66
4 Pt 0.3772 0.1937 0.3246  2 Ge 2.41-2.57, 1 Pt 2.66
5 Pt 0.0000 0.5000 0.0000  2 Ge 2.48, 4 Pt 2.68-2.76
6 Pt 0.3568 0.1887 0.8113  2 Ge 2.65, 4 Pt 2.68-2.78, 1 Pb 2.84
7 Pb 0.0000 0.0000 0.0000  6 Pt 2.80-2.84
8 Pt 0.6228 0.8063 0.6754  2 Ge 2.41-2.57, 1 Pt 2.66
9 Pt 0.3772 0.6754 0.8063  2 Ge 2.41-2.57, 1 Pt 2.66
10 Ge 0.5000 0.0000 0.5000  6 Pt 2.41-2.65
11 Ge 0.5000 0.5000 0.0000  6 Pt 2.41-2.65
12 Pt 0.6432 0.8113 0.1887  2 Ge 2.65, 4 Pt 2.68-2.78, 1 Pb 2.84
13 Pt 0.0000 0.0000 0.5000  2 Ge 2.48, 4 Pt 2.68-2.76

Properties
energy of formation from the pure elements: 20 meV per atom

***

An optimized crystal structure of La7Sm12Er, computed with PBE-GGA.

a b c (Å): 8.9292 8.9292 8.9292
angles (deg): 87.64 87.64 87.64
Closest atoms and distances in Å follow each position.
Element x y z (fractional)
1 Sm 0.3835 0.8619 0.5023  4 Sm 3.29-3.54, 2 La 3.35-3.56
2 La 0.3929 0.0799 0.1593  3 La 3.49-3.67, 5 Sm 3.56-3.84
3 La 0.8407 0.6071 0.9201  3 La 3.49-3.67, 5 Sm 3.56-3.84
4 Sm 0.7443 0.2713 0.1382  3 Sm 3.30-3.54, 1 Er 3.49, 2 La 3.62-3.63
5 Sm 0.1381 0.4977 0.6165  4 Sm 3.29-3.54, 2 La 3.35-3.56
6 La 0.6071 0.9201 0.8407  3 La 3.49-3.67, 5 Sm 3.56-3.84
7 Sm 0.5023 0.3835 0.8619  4 Sm 3.29-3.54, 2 La 3.35-3.56
8 Sm 0.1382 0.7443 0.2713  3 Sm 3.30-3.54, 1 Er 3.49, 2 La 3.62-3.63
9 Sm 0.2713 0.1382 0.7443  3 Sm 3.30-3.54, 1 Er 3.49, 2 La 3.62-3.63
10 La 0.1593 0.3929 0.0799  3 La 3.49-3.67, 5 Sm 3.56-3.84
11 La 0.9201 0.8407 0.6071  3 La 3.49-3.67, 5 Sm 3.56-3.84
12 Sm 0.7287 0.8618 0.2557  3 Sm 3.30-3.54, 1 Er 3.49, 2 La 3.62-3.63
13 Er 0.0000 0.0000 0.0000  6 Sm 3.49
14 Sm 0.6165 0.1381 0.4977  4 Sm 3.29-3.54, 2 La 3.35-3.56
15 La 0.5000 0.5000 0.5000  6 Sm 3.35
16 Sm 0.8619 0.5023 0.3835  4 Sm 3.29-3.54, 2 La 3.35-3.56
17 Sm 0.4977 0.6165 0.1381  4 Sm 3.29-3.54, 2 La 3.35-3.56
18 Sm 0.8618 0.2557 0.7287  3 Sm 3.30-3.54, 1 Er 3.49, 2 La 3.62-3.63
19 La 0.0799 0.1593 0.3929  3 La 3.49-3.67, 5 Sm 3.56-3.84
20 Sm 0.2557 0.7287 0.8618  3 Sm 3.30-3.54, 1 Er 3.49, 2 La 3.62-3.63

Properties
ΔE to the lowest computed polymorph: 0 meV per atom
energy of formation from the pure elements: 211 meV per atom

***

An optimized crystal structure of ScTaFe, computed with PBE-GGA.

a b c (Å): 6.0602 6.0602 7.2279
angles (deg): 67.89 67.89 92.95
Closest atoms and distances in Å follow each position.
Element x y z (fractional)
1 Sc 0.4128 0.2092 0.9942  3 Fe 2.47-2.73
2 Ta 0.7105 0.0009 0.4955  3 Fe 2.40-2.59
3 Fe 0.3165 0.6025 0.7469  2 Ta 2.39-2.40, 2 Sc 2.63-2.65
4 Ta 0.9168 0.2083 0.9983  3 Fe 2.39-2.59
5 Ta 0.2083 0.9168 0.4983  3 Fe 2.39-2.59
6 Ta 0.0009 0.7105 0.9955  3 Fe 2.40-2.59
7 Sc 0.7123 0.5043 0.5005  3 Fe 2.47-2.74
8 Sc 0.2092 0.4128 0.4942  3 Fe 2.47-2.73
9 Sc 0.5043 0.7123 0.0005  3 Fe 2.47-2.74
10 Fe 0.8656 0.0533 0.7466  4 Ta 2.44-2.59, 2 Sc 2.47
11 Fe 0.0533 0.8656 0.2466  4 Ta 2.44-2.59, 2 Sc 2.47
12 Fe 0.6025 0.3165 0.2469  2 Ta 2.39-2.40, 2 Sc 2.63-2.65

Properties
ΔE to the lowest computed polymorph: 148 meV per atom
energy of formation from the pure elements: 122 meV per atom

***

An optimized crystal structure of Pr4Y2Sc3, computed with PBE-GGA.

a b c (Å): 5.8508 10.1510 10.1510
angles (deg): 69.60 83.46 83.46
Closest atoms and distances in Å follow each position.
Element x y z (fractional)
1 Pr 0.6990 0.4857 0.7214  4 Sc 3.30-3.45, 3 Y 3.32-3.66, 2 Pr 3.42-3.55
2 Sc 0.0826 0.9746 0.6794  4 Pr 3.30-3.51, 4 Y 3.35-3.43
3 Y 0.3700 0.1644 0.3816  4 Pr 3.32-3.66, 4 Sc 3.35-3.43, 1 Y 3.65
4 Sc 0.2500 0.3617 0.6383  8 Pr 3.35-3.45
5 Sc 0.9174 0.0254 0.3206  4 Pr 3.30-3.51, 4 Y 3.35-3.43
6 Sc 0.4174 0.3206 0.0254  4 Pr 3.30-3.51, 4 Y 3.35-3.43
7 Pr 0.4714 0.9545 0.1745  4 Pr 3.32-3.65, 4 Sc 3.40-3.51, 1 Y 3.44
8 Pr 0.3010 0.5143 0.2786  4 Sc 3.30-3.45, 3 Y 3.32-3.66, 2 Pr 3.42-3.55
9 Y 0.8700 0.3816 0.1644  4 Pr 3.32-3.66, 4 Sc 3.35-3.43, 1 Y 3.65
10 Y 0.1300 0.6184 0.8356  4 Pr 3.32-3.66, 4 Sc 3.35-3.43, 1 Y 3.65
11 Pr 0.9714 0.1745 0.9545  4 Pr 3.32-3.65, 4 Sc 3.40-3.51, 1 Y 3.44
12 Pr 0.8010 0.2786 0.5143  4 Sc 3.30-3.45, 3 Y 3.32-3.66, 2 Pr 3.42-3.55
13 Sc 0.5826 0.6794 0.9746  4 Pr 3.30-3.51, 4 Y 3.35-3.43
14 Sc 0.7500 0.6383 0.3617  8 Pr 3.35-3.45
15 Pr 0.0286 0.8255 0.0455  4 Pr 3.32-3.65, 4 Sc 3.40-3.51, 1 Y 3.44
16 Pr 0.1990 0.7214 0.4857  4 Sc 3.30-3.45, 3 Y 3.32-3.66, 2 Pr 3.42-3.55
17 Y 0.6300 0.8356 0.6184  4 Pr 3.32-3.66, 4 Sc 3.35-3.43, 1 Y 3.65
18 Pr 0.5286 0.0455 0.8255  4 Pr 3.32-3.65, 4 Sc 3.40-3.51, 1 Y 3.44

Properties
energy of formation from the pure elements: 111 meV per atom